## Cu4SeS3 (PBE-GGA)

Data for a relaxed structure of Cu4SeS3.

Cell: 7.530 6.550 6.144 Å, 90.00 90.00 90.00°
Space group Pmn2_1 (No. 31)
Symmetry-distinct sites (fractional):
Cu 0.000 0.169 0.000 [2 per cell]
Cu 0.000 0.811 0.701 [2 per cell]
Cu 0.238 0.662 0.198 [4 per cell]
Se 0.000 0.159 0.587 [2 per cell]
S 0.000 0.827 0.068 [2 per cell]
S 0.244 0.659 0.566 [4 per cell]

## Properties
M_tot: 0.00 Bohr magnetons per cell
formation energy (no corrections): -0.124 eV/atom
E_tot: -4.16 eV per atom
density: 4.70 Mg/m³